Material: Rb3GeI6
Method: DFT, PBE
State: relaxed

Lattice parameters (Å, degrees): 13.0007 13.0007 6.6540 90.00 90.00 104.56
Closest atoms and distances in Å follow each position.
Atoms (fractional coordinates):
Rb1 0.1173 0.8827 0.5000  7 I 3.78-3.91
Rb2 0.2021 0.4353 0.4785  6 I 3.67-3.85
Rb3 0.4353 0.2021 0.9785  6 I 3.67-3.85
Rb4 0.5647 0.7979 0.4785  6 I 3.67-3.85
Rb5 0.7979 0.5647 0.9785  6 I 3.67-3.85
Rb6 0.8827 0.1173 0.0000  7 I 3.78-3.91
Ge1 0.2925 0.7075 0.8660  4 I 2.78-2.93
Ge2 0.7075 0.2925 0.3660  4 I 2.78-2.93
I1 0.0679 0.6190 0.7708  1 Ge 2.93
I2 0.1590 0.1627 0.7364  2 I 3.33
I3 0.1627 0.1590 0.2364  2 I 3.33
I4 0.2872 0.7128 0.2842  1 Ge 2.78
I5 0.3810 0.9321 0.7708  1 Ge 2.93
I6 0.4327 0.5673 0.8094  1 Ge 2.91
I7 0.5673 0.4327 0.3094  1 Ge 2.91
I8 0.6190 0.0679 0.2708  1 Ge 2.93
I9 0.7128 0.2872 0.7842  1 Ge 2.78
I10 0.8373 0.8410 0.7364  2 I 3.33
I11 0.8410 0.8373 0.2364  2 I 3.33
I12 0.9321 0.3810 0.2708  1 Ge 2.93

Properties
The energy relative to the lowest polymorph listed for this composition is 0 meV/atom. For the density of states at the Fermi level, the calculation gives 8.10 states/eV per cell. Its total energy is -52.56 eV for the cell shown. Its symmetry is Cmc2_1 (36). The formation energy (no corrections) is -9.459 eV/f.u.